(1)
A relaxed structure of CaLa2Br. Source: Alexandria via LeMat-Bulk, functional PBE-GGA.

Calculated values
The total energy is -15.04 eV per cell. The value obtained for the density is 4.72 g/cm³. The calculation puts the total magnetization at 0.00 μB per formula unit.

```
data_CaLa2Br
_chemical_formula_sum 'Ca1 La2 Br1'
_symmetry_space_group_name_H-M 'P 1 2/m 1'
_symmetry_Int_Tables_number 10
_cell_length_a 3.8134
_cell_length_b 6.1020
_cell_length_c 6.1190
_cell_angle_alpha 90.00
_cell_angle_beta 100.71
_cell_angle_gamma 90.00
loop_
_symmetry_equiv_pos_as_xyz
'x,y,z'
'-x,-y,-z'
'-x,y,-z'
'x,-y,z'
loop_
_atom_site_label
_atom_site_type_symbol
_atom_site_fract_x
_atom_site_fract_y
_atom_site_fract_z
Ca1 Ca 0.0000 0.0000 0.0000
La1 La 0.3011 0.5000 0.7345
Br1 Br 0.0000 0.0000 0.5000
```

(2)
A relaxed structure of Nd5Dy5Tm. Source: Alexandria via LeMat-Bulk, functional PBE-GGA.

Calculated values
The energy of formation is 0.260 eV/atom. The value obtained for the density is 7.59 g/cm³. The calculation puts the total magnetization at 0.35 μB per formula unit.

```
data_Nd5Dy5Tm
_chemical_formula_sum 'Nd10 Dy10 Tm2'
_symmetry_space_group_name_H-M 'C 1 2/m 1'
_symmetry_Int_Tables_number 12
_cell_length_a 18.9622
_cell_length_b 6.0103
_cell_length_c 7.0341
_cell_angle_alpha 90.00
_cell_angle_beta 111.67
_cell_angle_gamma 90.00
loop_
_symmetry_equiv_pos_as_xyz
'x,y,z'
'-x,-y,-z'
'-x,y,-z'
'x,-y,z'
'x+1/2,y+1/2,z'
'-x+1/2,-y+1/2,-z'
'-x+1/2,y+1/2,-z'
'x+1/2,-y+1/2,z'
loop_
_atom_site_label
_atom_site_type_symbol
_atom_site_fract_x
_atom_site_fract_y
_atom_site_fract_z
Nd1 Nd 0.0000 0.0000 0.0000
Nd2 Nd 0.1753 0.5000 0.4202
Nd3 Nd 0.1754 0.5000 0.9313
Dy1 Dy 0.0000 0.5000 0.5000
Dy2 Dy 0.1222 0.0000 0.6234
Dy3 Dy 0.1688 0.0000 0.1697
Tm1 Tm 0.0000 0.5000 0.0000
```

(3)
A relaxed structure of Pu2AlBi. Source: Alexandria via LeMat-Bulk, functional PBE-GGA.

Calculated values
As for the polymorph energy (0 for the lowest one): 28.8 meV/atom. The energy of formation is -0.203 eV/atom. The value obtained for the density is 11.81 g/cm³. The calculation puts the total magnetization at 11.71 μB per formula unit.

```
data_Pu2AlBi
_chemical_formula_sum 'Pu2 Al1 Bi1'
_symmetry_space_group_name_H-M 'P 4/m m m'
_symmetry_Int_Tables_number 123
_symmetry_space_group_name_Hall '-P 4 2'
_cell_length_a 3.2905
_cell_length_b 3.2905
_cell_length_c 9.3998
_cell_angle_alpha 90.00
_cell_angle_beta 90.00
_cell_angle_gamma 90.00
loop_
_atom_site_label
_atom_site_type_symbol
_atom_site_fract_x
_atom_site_fract_y
_atom_site_fract_z
Pu1 Pu 0.0000 0.0000 0.2290
Al1 Al 0.5000 0.5000 0.0000
Bi1 Bi 0.5000 0.5000 0.5000
```

(4)
A relaxed structure of Sc4Ni2Ir. Source: Alexandria via LeMat-Bulk, functional PBE-GGA.

Calculated values
As for the polymorph energy (0 for the lowest one): 0.0 meV/atom. The energy of formation is -0.584 eV/atom. The value obtained for the density is 6.38 g/cm³. The calculation puts the total magnetization at 0.00 μB per formula unit.

```
data_Sc4Ni2Ir
_chemical_formula_sum 'Sc12 Ni6 Ir3'
_symmetry_space_group_name_H-M 'R -3 m'
_symmetry_Int_Tables_number 166
_symmetry_space_group_name_Hall '-R 3 2"'
_cell_length_a 4.4935
_cell_length_b 4.4935
_cell_length_c 21.8428
_cell_angle_alpha 90.00
_cell_angle_beta 90.00
_cell_angle_gamma 120.00
loop_
_atom_site_label
_atom_site_type_symbol
_atom_site_fract_x
_atom_site_fract_y
_atom_site_fract_z
Sc1 Sc 0.0000 0.0000 0.1220
Sc2 Sc 0.0000 0.0000 0.3738
Ni1 Ni 0.0000 0.0000 0.2467
Ir1 Ir 0.0000 0.0000 0.5000
```